VASP calculation (PBE) on a relaxed structure of Zn5Cu2.

## Properties
* E_form: -0.47 eV/f.u.
* symmetry: C2/c

Cell lengths 4.659, 6.399, 6.980 Å; angles 96.15, 90.00, 111.35 degrees
Sites, in units of the cell vectors:
Zn1 0.691 0.729 0.538
Zn2 0.962 0.271 0.962
Zn3 0.876 0.431 0.324
Zn4 0.445 0.569 0.176
Zn5 0.124 0.569 0.676
Zn6 0.555 0.431 0.824
Zn7 0.038 0.729 0.038
Zn8 0.309 0.271 0.462
Zn9 0.186 0.000 0.750
Zn10 0.814 0.000 0.250
Cu1 0.742 0.146 0.607
Cu2 0.596 0.854 0.893
Cu3 0.258 0.854 0.393
Cu4 0.404 0.146 0.107

VASP calculation (PBE) on a relaxed structure of RbBa2HfRh.

## Properties
* E_form: 7.71 eV/f.u.
* symmetry: P4/mmm

Cell lengths 6.382, 6.371, 6.382 Å; angles 90.00, 90.00, 90.00 degrees
Each line ends with the local moment (μB).
Sites, in units of the cell vectors:
Rh1 0.500 0.500 0.500  1.11
Hf1 0.000 0.000 0.000  1.40
Ba1 0.000 0.000 0.500  0.21
Ba2 0.500 0.000 0.000  0.16
Rb1 0.000 0.500 0.000  0.06

VASP calculation (PBE) on a relaxed structure of TbInGa.

## Properties
* offset from the most stable computed form: 106 meV per atom
* E_form: -1.13 eV/f.u.
* symmetry: F-43m

Cell lengths 4.742, 4.742, 4.742 Å; angles 60.00, 60.00, 60.00 degrees
Sites, in units of the cell vectors:
Tb1 0.500 0.500 0.500
Ga1 0.250 0.250 0.250
In1 0.000 0.000 0.000

VASP calculation (PBE) on a relaxed structure of PrTh2Co9.

## Properties
* E_form: -1.49 eV/f.u.
* symmetry: R-3m

Cell lengths 5.014, 5.014, 8.830 Å; angles 73.50, 73.50, 60.00 degrees
Each line ends with the local moment (μB).
Sites, in units of the cell vectors:
Pr1 0.000 0.000 0.000  -0.15
Th1 0.863 0.863 0.412  -0.30
Th2 0.137 0.137 0.588  -0.30
Co1 0.667 0.667 0.999  1.45
Co2 0.333 0.333 0.001  1.45
Co3 0.500 0.500 0.500  0.69
Co4 0.421 0.421 0.241  1.01
Co5 0.918 0.421 0.241  1.01
Co6 0.421 0.918 0.241  1.01
Co7 0.579 0.579 0.759  1.01
Co8 0.579 0.082 0.759  1.01
Co9 0.082 0.579 0.759  1.01

VASP calculation (PBE) on a relaxed structure of Sc3GeIr.

## Properties
* offset from the most stable computed form: 0 meV per atom
* E_form: -1.24 eV/f.u.
* symmetry: Pm-3m

Cell lengths 4.987, 4.987, 4.987 Å; angles 90.00, 90.00, 90.00 degrees
Sites, in units of the cell vectors:
Sc1 0.000 0.500 0.000
Sc2 0.000 0.000 0.500
Sc3 0.500 0.000 0.000
Ge1 0.500 0.500 0.500
Ir1 0.000 0.000 0.000

VASP calculation (PBE) on a relaxed structure of HgAsPb2.

## Properties
* offset from the most stable computed form: 86 meV per atom
* E_form: 0.33 eV/f.u.
* symmetry: Pmmm

Cell lengths 5.099, 5.084, 4.173 Å; angles 90.00, 90.00, 90.00 degrees
Sites, in units of the cell vectors:
Pb1 0.000 0.000 0.000
Pb2 0.500 0.500 0.000
As1 0.500 0.000 0.500
Hg1 0.000 0.500 0.500

VASP calculation (PBE) on a relaxed structure of TiPb2Cl.

## Properties
* offset from the most stable computed form: 0 meV per atom
* raw formation energy: 0.22 eV/atom
* symmetry: I-42d

Cell lengths 4.334, 4.334, 12.116 Å; angles 79.70, 79.70, 90.00 degrees
Each line ends with the local moment (μB).
Sites, in units of the cell vectors:
Pb1 0.633 0.125 0.250  0.00
Pb2 0.117 0.625 0.250  0.00
Pb3 0.375 0.367 0.750  0.00
Pb4 0.875 0.883 0.750  0.01
Cl1 0.500 0.500 0.000  0.00
Cl2 0.250 0.750 0.500  0.00
Ti1 0.000 0.000 0.000  1.75
Ti2 0.750 0.250 0.500  1.75

VASP calculation (PBE) on a relaxed structure of HfMn2Zn.

## Properties
* E_form: 0.07 eV/f.u.
* symmetry: P4/mmm

Cell lengths 3.181, 3.181, 5.901 Å; angles 90.00, 90.00, 90.00 degrees
Each line ends with the local moment (μB).
Sites, in units of the cell vectors:
Zn1 0.500 0.500 0.500  -0.07
Mn1 0.000 0.000 0.734  2.37
Mn2 0.000 0.000 0.266  2.37
Hf1 0.500 0.500 0.000  -0.45

VASP calculation (PBE) on a relaxed structure of SrNpPa2S8.

## Properties
* raw formation energy: -1.50 eV/atom
* symmetry: P2/m

Cell lengths 6.388, 6.245, 8.388 Å; angles 90.00, 90.00, 88.47 degrees
Each line ends with the local moment (μB).
Sites, in units of the cell vectors:
Sr1 0.000 0.000 0.500  0.00
Np1 0.000 0.000 0.000  3.21
Pa1 0.500 0.500 0.751  0.04
Pa2 0.500 0.500 0.249  0.04
S1 0.170 0.758 0.228  -0.05
S2 0.662 0.718 0.000  -0.03
S3 0.830 0.242 0.228  -0.05
S4 0.830 0.242 0.772  -0.05
S5 0.338 0.282 0.000  -0.03
S6 0.170 0.758 0.772  -0.05
S7 0.637 0.712 0.500  -0.01
S8 0.363 0.288 0.500  -0.01

VASP calculation (PBE) on a relaxed structure of Li2Sm2In3.

## Properties
* E_form: -2.29 eV/f.u.
* symmetry: Cmcm

Cell lengths 4.567, 7.561, 10.451 Å; angles 90.00, 102.62, 90.00 degrees
Sites, in units of the cell vectors:
Li1 0.692 0.941 0.383
Li2 0.308 0.059 0.617
Li3 0.308 0.441 0.617
Li4 0.692 0.559 0.383
Sm1 0.157 0.250 0.314
Sm2 0.843 0.750 0.686
Sm3 0.950 0.250 0.900
Sm4 0.050 0.750 0.100
In1 0.222 0.750 0.444
In2 0.778 0.250 0.556
In3 0.566 0.441 0.132
In4 0.434 0.559 0.868
In5 0.434 0.941 0.868
In6 0.566 0.059 0.132

VASP calculation (PBE) on a relaxed structure of InOs2Pt.

## Properties
* offset from the most stable computed form: 179 meV per atom
* E_form: 1.08 eV/f.u.
* symmetry: Cm

Cell lengths 4.818, 4.818, 4.931 Å; angles 81.29, 81.29, 34.69 degrees
Sites, in units of the cell vectors:
In1 0.750 0.750 0.732
Os1 0.993 0.993 0.043
Os2 0.254 0.254 0.218
Pt1 0.503 0.503 0.508

VASP calculation (PBE) on a relaxed structure of SiAgHg2.

## Properties
* raw formation energy: 0.28 eV/atom
* symmetry: R3m

Cell lengths 10.793, 10.793, 10.793 Å; angles 16.04, 16.04, 16.04 degrees
Sites, in units of the cell vectors:
Ag1 0.757 0.757 0.757
Hg1 0.008 0.008 0.008
Hg2 0.245 0.245 0.245
Si1 0.490 0.490 0.490

Number 1: E_tot -2.147 eV/atom. Number 2: E_tot -2.881 eV/atom. Number 3: E_tot -3.842 eV/atom. Number 4: E_tot -7.089 eV/atom. Number 5: E_tot -6.742 eV/atom. Number 6: E_tot -3.008 eV/atom. Number 7: E_tot -4.070 eV/atom. Number 8: E_tot -7.374 eV/atom. Number 9: E_tot -7.050 eV/atom. Number 10: E_tot -3.395 eV/atom. Number 11: E_tot -7.540 eV/atom. Number 12: E_tot -1.939 eV/atom.